Below is crystalline CaTlAgMoN at its relaxed geometry, with properties calculated at the PBE level.

Results
Its volume is 19.9 A^3/atom. As for the space-group type: Cm, No. 8. The electronic total energy is -5.257 eV per atom. As for the formation energy (no corrections): 0.1 eV per formula unit. The density of states at the Fermi level is 5.73 states/eV/cell. As for the total moment: 0.0000 μB per atom. For the energy relative to the lowest polymorph listed for this composition, the calculation gives 165 meV per atom.

Unit cell a=10.6796 b=3.1395 c=7.7519 alpha=90.00 beta=129.99 gamma=90.00
Atoms (fractional coordinates):
Ca1 0.0000 0.0000 0.0000
Ca2 0.5000 0.5000 0.0000
Tl1 0.3139 0.0000 0.5237
Tl2 0.8139 0.5000 0.5237
Ag1 0.1443 0.0000 0.7242
Ag2 0.6443 0.5000 0.7242
Mo1 0.3587 0.5000 0.2368
Mo2 0.8587 0.0000 0.2368
N1 0.4031 0.0000 0.1366
N2 0.9031 0.5000 0.1366

***

Below is crystalline CaTlAgMoN at its relaxed geometry, with properties calculated at the PBE level.

Results
Its volume is 20.7 A^3/atom. As for the space-group type: Pm, No. 6. The electronic total energy is -5.294 eV per atom. As for the formation energy (no corrections): -0.1 eV per formula unit. The density of states at the Fermi level is 2.92 states/eV/cell. As for the total moment: 0.0000 μB per atom. For the energy relative to the lowest polymorph listed for this composition, the calculation gives 128 meV per atom.

Unit cell a=4.9173 b=3.5783 c=5.8896 alpha=90.00 beta=91.06 gamma=90.00
Atoms (fractional coordinates):
Ca1 0.0000 0.0000 0.0000
Tl1 0.0241 0.5000 0.4946
Ag1 0.5299 0.5000 0.7389
Mo1 0.5245 0.5000 0.2400
N1 0.4754 0.0000 0.1304